TlZnInNiAsPt: optimized geometry, GGA-PBE.

Lattice parameters (Å, degrees): 4.1666 5.4111 5.5898 79.05 82.50 89.70
Fractional positions:
Tl 0.0000 0.0000 0.0000
Zn 0.4428 0.7427 0.3823
In 0.5520 0.5502 0.8807
Ni 0.0969 0.4056 0.6768
As 0.4656 0.2103 0.4269
Pt 0.9897 0.4773 0.2180

relative energy among the computed polymorphs: 143.4 meV per atom
density of states at the Fermi level: 4.1 states/eV/f.u.
formation energy: -0.063 eV per atom
M_tot: 0.00 μB per cell
volume: 20.44 A^3/atom